<w>
Entry from the Alexandria database: a relaxed Pa2RhC crystal (GGA-PBE).

Values from the calculation:
V = 75.0 Å³/cell
Crystal system = trigonal
Space-group type = R3m (160)
Density = 12.8 Mg/m³

Geometry as POSCAR:
```
Pa2RhC
1.0
3.5438 0.0000 0.0000
1.7719 3.0691 0.0000
1.7719 1.0230 6.8979
Pa Rh C
2 1 1
Direct
0.0947 0.0947 0.7159
0.2375 0.2375 0.2875
0.6726 0.6726 0.9822
0.4952 0.4952 0.5144
```

<x>
Entry from the Alexandria database: a relaxed Pa2RhC crystal (GGA-PBE).

Values from the calculation:
V = 74.9 Å³/cell
Crystal system = trigonal
Space-group type = R-3m (166)
Density = 12.8 Mg/m³

Geometry as POSCAR:
```
Pa2RhC
1.0
-2.8101 -1.3815 -1.6498
0.3797 -2.8632 -2.0457
-2.0174 -5.4712 4.2213
C Pa Rh
1 2 1
Direct
0.5000 0.5000 0.5000
0.7637 0.7637 0.7088
0.2363 0.2363 0.2912
0.0000 0.0000 0.0000
```

Least stable of them? <w>.

<w>
Entry from the Alexandria database: a relaxed PaRuC crystal (GGA-PBE).

Values from the calculation:
V = 188.2 Å³/cell
Crystal system = orthorhombic
Space-group type = Pnma (62)
Density = 12.1 Mg/m³

Geometry as POSCAR:
```
PaRuC
1.0
-0.9902 -2.8478 -1.3663
-1.0945 -2.5897 6.1908
-7.8663 2.8337 -0.2053
Pa C Ru
4 4 4
Direct
0.7500 0.9164 0.1889
0.2500 0.4164 0.3111
0.2500 0.0836 0.8111
0.7500 0.5836 0.6889
0.7500 0.6595 0.3999
0.2500 0.1595 0.1001
0.2500 0.3405 0.6001
0.7500 0.8405 0.8999
0.7500 0.3265 0.0341
0.2500 0.8265 0.4659
0.2500 0.6735 0.9659
0.7500 0.1735 0.5341
```

<x>
Entry from the Alexandria database: a relaxed PaRuC crystal (GGA-PBE).

Values from the calculation:
V = 46.0 Å³/cell
Crystal system = trigonal
Space-group type = P3m1 (156)
Density = 12.4 Mg/m³

Geometry as POSCAR:
```
PaRuC
1.0
3.7544 0.0000 0.0000
0.0000 3.7623 0.0000
0.0000 -1.8812 3.2583
Ru C Pa
1 1 1
Direct
0.2133 0.3333 0.6667
0.0946 0.0000 0.0000
0.6922 0.6667 0.3333
```

Least stable of them? <x>.

<w>
Entry from the Alexandria database: a relaxed Pa2CS crystal (GGA-PBE).

Values from the calculation:
V = 74.9 Å³/cell
Crystal system = trigonal
Space-group type = R-3m (166)
Density = 11.2 Mg/m³

Geometry as POSCAR:
```
Pa2CS
1.0
-0.7052 2.8715 2.1878
-2.0135 -0.4578 3.0439
4.4063 -0.4273 5.0729
S Pa C
1 2 1
Direct
0.5000 0.5000 0.5000
0.2606 0.2606 0.2183
0.7394 0.7394 0.7817
0.0000 0.0000 0.0000
```

<x>
Entry from the Alexandria database: a relaxed Pa2CS crystal (GGA-PBE).

Values from the calculation:
V = 74.8 Å³/cell
Crystal system = trigonal
Space-group type = R3m (160)
Density = 11.2 Mg/m³

Geometry as POSCAR:
```
Pa2CS
1.0
-2.3283 -2.5696 -0.7250
1.0903 -2.9919 -1.5523
0.7401 -4.6443 5.4289
Pa C S
2 1 1
Direct
0.9556 0.9556 0.1333
0.7623 0.7623 0.7130
0.3581 0.3581 0.9258
0.1908 0.1908 0.4275
```

Least stable of them? <x>.

<w>
Entry from the Alexandria database: a relaxed PaCSe crystal (GGA-PBE).

Values from the calculation:
V = 114.2 Å³/cell
Crystal system = tetragonal
Space-group type = I4/mmm (139)
Density = 9.4 Mg/m³

Geometry as POSCAR:
```
PaCSe
1.0
3.7609 0.0000 0.0000
0.0000 3.7609 0.0000
-1.8805 -1.8805 8.0765
Pa C Se
2 2 2
Direct
0.0992 0.0992 0.1983
0.9008 0.9008 0.8017
0.0000 0.5000 0.0000
0.5000 0.0000 0.0000
0.6778 0.6778 0.3557
0.3222 0.3222 0.6443
```

<x>
Entry from the Alexandria database: a relaxed PaCSe crystal (GGA-PBE).

Values from the calculation:
V = 59.7 Å³/cell
Crystal system = tetragonal
Space-group type = I4mm (107)
Density = 9.0 Mg/m³

Geometry as POSCAR:
```
PaCSe
1.0
-2.9299 -1.6752 0.9692
-0.8354 -0.4915 -3.3750
4.2908 -3.1193 1.2188
C Pa Se
1 1 1
Direct
0.2520 0.2520 0.5041
0.7112 0.7112 0.4224
0.0368 0.0368 0.0736
```

<y>
Entry from the Alexandria database: a relaxed PaCSe crystal (GGA-PBE).

Values from the calculation:
V = 137.4 Å³/cell
Crystal system = monoclinic
Space-group type = C2/m (12)
Density = 7.8 Mg/m³

Geometry as POSCAR:
```
PaCSe
1.0
-1.0353 3.6813 -0.1818
-1.1735 -2.4671 -2.9642
-7.5836 -1.8013 6.7108
Pa C Se
2 2 2
Direct
0.4074 0.8148 0.1420
0.5926 0.1852 0.8580
0.0929 0.1857 0.0357
0.9071 0.8143 0.9643
0.7870 0.5741 0.3113
0.2130 0.4259 0.6887
```

Least stable of them? <x>.

<w>
Entry from the Alexandria database: a relaxed Pa5CSe4 crystal (GGA-PBE).

Values from the calculation:
V = 224.9 Å³/cell
Crystal system = tetragonal
Space-group type = I4/mmm (139)
Density = 11.0 Mg/m³

Geometry as POSCAR:
```
Pa5CSe4
1.0
3.9513 0.0000 -0.5569
-0.0785 3.9505 -0.5569
0.0149 0.0152 14.4028
Pa C Se
5 1 4
Direct
0.0841 0.0841 0.1682
0.5000 0.5000 0.0000
0.9159 0.9159 0.8318
0.2957 0.2957 0.5914
0.7043 0.7043 0.4086
0.0000 0.0000 0.0000
0.3980 0.3980 0.7961
0.8081 0.8081 0.6161
0.1919 0.1919 0.3839
0.6020 0.6020 0.2039
```

<x>
Entry from the Alexandria database: a relaxed Pa5CSe4 crystal (GGA-PBE).

Values from the calculation:
V = 223.3 Å³/cell
Crystal system = tetragonal
Space-group type = I4/m (87)
Density = 11.0 Mg/m³

Geometry as POSCAR:
```
Pa5CSe4
1.0
5.6537 0.0000 0.0000
2.8268 6.2852 0.0000
2.8268 0.0000 6.2852
Pa C Se
5 1 4
Direct
0.9070 0.3584 0.8296
0.2654 0.8296 0.6416
0.7366 0.1704 0.3584
0.0950 0.6416 0.1704
0.5011 0.0000 0.0000
0.0012 0.0000 0.0000
0.4151 0.3946 0.7772
0.8097 0.7772 0.6054
0.1923 0.2228 0.3946
0.5869 0.6054 0.2228
```

Least stable of them? <w>.

<w>
Entry from the Alexandria database: a relaxed Pa2CSe2 crystal (GGA-PBE).

Values from the calculation:
V = 218.0 Å³/cell
Crystal system = orthorhombic
Space-group type = Ibam (72)
Density = 9.6 Mg/m³

Geometry as POSCAR:
```
Pa2CSe2
1.0
0.8488 3.1756 4.6228
6.8848 0.3513 1.9746
4.1476 5.7228 -1.2127
Pa C Se
4 2 4
Direct
0.1006 0.6077 0.1911
0.8994 0.3923 0.8089
0.3994 0.8089 0.3923
0.6006 0.1911 0.6077
0.2500 0.5000 0.5000
0.7500 0.5000 0.5000
0.3558 0.2930 0.9955
0.6442 0.7070 0.0045
0.1442 0.0045 0.7070
0.8558 0.9955 0.2930
```

<x>
Entry from the Alexandria database: a relaxed Pa2CSe2 crystal (GGA-PBE).

Values from the calculation:
V = 222.5 Å³/cell
Crystal system = orthorhombic
Space-group type = Cmc2_1 (36)
Density = 9.4 Mg/m³

Geometry as POSCAR:
```
Pa2CSe2
1.0
-0.9321 -0.8489 -3.7447
4.9245 -5.5103 0.0234
-4.9226 -4.3811 4.3030
Pa C Se
4 2 4
Direct
0.4522 0.4057 0.9044
0.8411 0.0296 0.6823
0.1589 0.5296 0.3177
0.5478 0.9057 0.0956
0.4105 0.0836 0.8211
0.5895 0.5836 0.1789
0.9445 0.7122 0.8889
0.7914 0.4032 0.5828
0.2086 0.9032 0.4172
0.0555 0.2122 0.1111
```

Least stable of them? <x>.